(1)
The following is a PBE calculation of a relaxed TcAgHg2Pt crystal, from Alexandria.

Computed properties:
* crystal system: tetragonal
* distance to the lowest polymorph of the same formula: 251 meV/atom
* magnetic moment: 0.832 μB per atom
* DOS(E_F): 0.9436 states/eV per atom
* calculated formation energy: 1395 meV/atom
* mass density: 10.10 g/cm³

Cell and atoms, written as extended XYZ:
```
5
Lattice="5.081 0.000 0.000 0.000 5.110 0.000 0.000 0.000 5.081" Properties=species:S:1:pos:R:3 pbc="T T T"
Hg 0.000 0.000 2.541
Hg 2.541 0.000 0.000
Tc 2.541 2.555 2.541
Ag 0.000 0.000 0.000
Pt 0.000 2.555 0.000
```

(2)
The following is a PBE calculation of a relaxed KScFeSe3 crystal, from Alexandria.

Computed properties:
* crystal system: monoclinic
* E_form (uncorrected): -1.1488 eV per atom
* magnetic moment: 0.635 μB per atom
* DOS(E_F): 0.4044 states/eV per atom
* mass density: 3.95 g/cm³

Cell and atoms, written as extended XYZ:
```
12
Lattice="-0.944 0.793 -3.729 7.874 -3.427 -2.722 -6.693 -6.824 0.243" Properties=species:S:1:pos:R:3 pbc="T T T"
Se -2.613 -3.832 -3.256
Se -5.009 -6.054 -1.054
Se 5.246 -3.404 -5.154
Se 1.893 -2.059 -4.019
Se 2.849 -5.625 -2.952
Se -1.656 -7.399 -2.189
Fe -3.609 -4.090 -0.990
Fe 3.846 -5.368 -5.217
K -0.172 -2.107 -1.439
K 0.409 -7.351 -4.769
Sc 4.042 -3.046 -2.705
Sc -3.805 -6.412 -3.503
```

(3)
The following is a PBE calculation of a relaxed YInMo3 crystal, from Alexandria.

Computed properties:
* crystal system: cubic
* distance to the lowest polymorph of the same formula: 420 meV/atom
* magnetic moment: 0.000 μB per atom
* DOS(E_F): 1.3938 states/eV per atom
* calculated formation energy: 2252 meV/atom
* mass density: 7.13 g/cm³

Cell and atoms, written as extended XYZ:
```
5
Lattice="4.856 0.000 0.000 0.000 4.856 0.000 0.000 0.000 4.856" Properties=species:S:1:pos:R:3 pbc="T T T"
Mo 0.000 2.428 0.000
Mo 2.428 0.000 0.000
Mo 0.000 0.000 2.428
In 2.428 2.428 2.428
Y 0.000 0.000 0.000
```

(4)
The following is a PBE calculation of a relaxed Ti2ZnCu crystal, from Alexandria.

Computed properties:
* crystal system: tetragonal
* magnetic moment: 0.275 μB per atom
* DOS(E_F): 0.9638 states/eV per atom
* calculated formation energy: -114 meV/atom
* mass density: 6.22 g/cm³

Cell and atoms, written as extended XYZ:
```
4
Lattice="-3.518 -0.266 -1.576 0.207 -3.931 0.201 -1.617 0.099 3.593" Properties=species:S:1:pos:R:3 pbc="T T T"
Ti -0.809 0.049 1.796
Ti 0.103 -1.965 0.101
Cu -1.759 -0.133 -0.788
Zn -2.464 -2.049 1.109
```